CaRePb2: optimized geometry, PBE.

Summary:
Polymorph energy (0 for the lowest one) ... 58 kJ/mol of formula units
ΔH_f (0 K) ... 2.11 eV/f.u.

a = 3.3355 Å, b = 4.7828 Å, c = 6.1843 Å
α = 90.00°, β = 98.61°, γ = 90.00°
Closest atoms and distances in Å follow each position.
Fractional positions:
Ca (0.0000, 0.0000, 0.0000)  8 Pb 3.23-3.46, 2 Re 3.29, 2 Ca 3.34
Re (0.5000, 0.0000, 0.5000)  4 Pb 2.87
Pb (0.3577, 0.5000, 0.7335)  2 Re 2.87, 1 Pb 3.17
Pb (0.6423, 0.5000, 0.2665)  2 Re 2.87, 1 Pb 3.17